(1)
5
Lattice="3.066 0.000 0.000 0.000 4.705 0.000 0.000 0.000 4.705" Properties=species:S:1:pos:R:3 comment="MnHgMo2H | the Alexandria database | GGA-PBEsol | optimized geometry" sg=P4/mmm total_magnetization_mub_per_atom=0.00 total_energy_ev_per_atom=-6.5310 pbc="T T T"
Mn 0.000 0.000 0.000
H 1.533 0.000 0.000
Mo 0.000 0.000 2.353
Mo 0.000 2.353 0.000
Hg 1.533 2.353 2.353

(2)
5
Lattice="3.629 0.000 0.000 0.000 3.629 0.000 0.000 0.000 3.629" Properties=species:S:1:pos:R:3 comment="HgMoH3 | the Alexandria database | GGA-PBEsol | optimized geometry" sg=Pm-3m total_magnetization_mub_per_atom=0.17 total_energy_ev_per_atom=-3.2804 pbc="T T T"
Hg 0.000 0.000 0.000
Mo 1.814 1.814 1.814
H 0.000 1.814 0.000
H 0.000 0.000 1.814
H 1.814 0.000 0.000